1.
LiYSb: relaxed, PBE.

Summary:
energy relative to the lowest polymorph listed for this composition: 11.13 kcal/mol of atoms
spin magnetization: 0.0 μB per cell

Lattice parameters (Å, degrees): 4.990 4.990 4.990 60.00 60.00 60.00
Element x y z (fractional)
Li  0.000  0.000  0.000
Y  0.750  0.750  0.750
Sb  0.500  0.500  0.500

---

2.
Li2YSb4: relaxed, PBE.

Summary:
spin magnetization: 0.0 μB per cell

Lattice parameters (Å, degrees): 8.165 8.165 8.165 138.99 138.99 59.40
Element x y z (fractional)
Li  0.099  0.099  0.000
Li  0.901  0.901  0.000
Y  0.500  0.500  0.000
Sb  0.000  0.500  0.500
Sb  0.292  0.292  0.000
Sb  0.500  0.000  0.500
Sb  0.708  0.708  0.000

---

Computed DFT total energy, in the same sequence as the records: -4.5145, -3.7646 eV per atom.
Computed formation energy without anion corrections, in the same sequence as the records: -0.35, 0.06 eV/atom.